VASP calculation (PBE) on MoPb2Se after structural relaxation.

Unit cell a=7.6064 b=7.6064 c=7.6064 alpha=154.82 beta=145.93 gamma=42.83
Last column: nearest neighbours and their distance in Å.
Atoms (fractional coordinates):
Mo  0.7130  0.2130  0.5000  2 Se 2.49
Pb  0.9348  0.9348  0.0000  4 Pb 3.22-3.32, 4 Se 3.47, 2 Mo 3.55
Pb  0.2702  0.7702  0.5000  4 Mo 2.89, 2 Pb 3.22
Se  0.5820  0.5820  0.0000  2 Mo 2.49

Results
The value obtained for the uncorrected formation energy is 0.230 eV/atom.

***

VASP calculation (PBE) on MoPb4Se after structural relaxation.

Unit cell a=6.3235 b=6.3235 c=6.3235 alpha=60.00 beta=60.00 gamma=60.00
Last column: nearest neighbours and their distance in Å.
Atoms (fractional coordinates):
Mo  0.0000  0.0000  0.0000  12 Pb 3.71, 4 Se 3.87
Pb  0.8768  0.3744  0.3744  6 Pb 3.15-3.18
Pb  0.3744  0.3744  0.8768  6 Pb 3.15-3.18
Pb  0.3744  0.8768  0.3744  6 Pb 3.15-3.18
Pb  0.3744  0.3744  0.3744  6 Pb 3.15-3.18
Se  0.7500  0.7500  0.7500  12 Pb 3.71, 4 Mo 3.87

Results
The value obtained for the uncorrected formation energy is 0.819 eV/atom.

***

VASP calculation (PBE) on MoPb2Se after structural relaxation.

Unit cell a=4.5766 b=3.9097 c=5.6601 alpha=69.82 beta=90.00 gamma=90.00
Last column: nearest neighbours and their distance in Å.
Atoms (fractional coordinates):
Mo  0.5000  0.5664  0.7428  2 Se 2.61
Pb  0.0000  0.9688  0.9375  3 Se 3.01-3.02, 4 Mo 3.18
Pb  0.5000  0.2801  0.3141  3 Mo 3.00-3.04, 4 Se 3.18
Se  0.0000  0.6846  0.5056  2 Mo 2.61

Results
The value obtained for the uncorrected formation energy is 0.308 eV/atom.

***

VASP calculation (PBE) on Mo4PbSe7 after structural relaxation.

Unit cell a=6.3394 b=4.2082 c=19.3071 alpha=90.00 beta=90.00 gamma=90.00
Last column: nearest neighbours and their distance in Å.
Atoms (fractional coordinates):
Mo  0.6399  0.9887  0.8729  6 Se 2.56-2.72, 2 Mo 2.83-2.84
Mo  0.0547  0.5118  0.2787  5 Se 2.52-2.64
Mo  0.5547  0.4882  0.2213  5 Se 2.52-2.64
Mo  0.1399  0.0113  0.6271  6 Se 2.56-2.72, 2 Mo 2.83-2.84
Mo  0.1399  0.0113  0.3729  6 Se 2.56-2.72, 2 Mo 2.83-2.84
Mo  0.6399  0.9887  0.1271  6 Se 2.56-2.72, 2 Mo 2.83-2.84
Mo  0.0547  0.5118  0.7213  5 Se 2.52-2.64
Mo  0.5547  0.4882  0.7787  5 Se 2.52-2.64
Pb  0.7226  0.0140  0.5000  5 Se 2.81-3.03
Pb  0.2226  0.9860  0.0000  5 Se 2.81-3.03
Se  0.8955  0.4943  0.1540  4 Mo 2.52-2.72
Se  0.3955  0.5057  0.3460  4 Mo 2.52-2.72
Se  0.4204  0.4893  0.9083  3 Mo 2.61-2.64
Se  0.9204  0.5107  0.5917  3 Mo 2.61-2.64
Se  0.9204  0.5107  0.4083  3 Mo 2.61-2.64
Se  0.4204  0.4893  0.0917  3 Mo 2.61-2.64
Se  0.3156  0.9908  0.7942  3 Mo 2.56-2.62
Se  0.8156  0.0092  0.7058  3 Mo 2.56-2.62
Se  0.8156  0.0092  0.2942  3 Mo 2.56-2.62
Se  0.3156  0.9908  0.2058  3 Mo 2.56-2.62
Se  0.7800  0.9969  0.0000  2 Mo 2.61, 1 Pb 2.81
Se  0.2800  0.0031  0.5000  2 Mo 2.61, 1 Pb 2.81
Se  0.8955  0.4943  0.8460  4 Mo 2.52-2.72
Se  0.3955  0.5057  0.6540  4 Mo 2.52-2.72

Results
The value obtained for the uncorrected formation energy is -0.170 eV/atom.

***

VASP calculation (PBE) on MoPb2Se after structural relaxation.

Unit cell a=5.1512 b=5.1512 c=5.1512 alpha=60.00 beta=60.00 gamma=60.00
Last column: nearest neighbours and their distance in Å.
Atoms (fractional coordinates):
Mo  0.5000  0.5000  0.5000  4 Pb 3.15, 4 Se 3.15
Pb  0.0000  0.0000  0.0000  4 Se 3.15, 4 Pb 3.15
Pb  0.2500  0.2500  0.2500  4 Pb 3.15, 4 Mo 3.15
Se  0.7500  0.7500  0.7500  4 Pb 3.15, 4 Mo 3.15

Results
The value obtained for the uncorrected formation energy is 0.658 eV/atom.

***

VASP calculation (PBE) on MoPb2Se after structural relaxation.

Unit cell a=5.7561 b=5.7561 c=5.8487 alpha=69.36 beta=69.36 gamma=33.53
Last column: nearest neighbours and their distance in Å.
Atoms (fractional coordinates):
Mo  0.2030  0.2030  0.1709  2 Se 2.51
Pb  0.9412  0.9412  0.1242  3 Mo 3.00-3.03, 3 Pb 3.25-3.32
Pb  0.7784  0.7784  0.7133  1 Se 2.95, 2 Mo 3.00, 1 Pb 3.25
Se  0.5774  0.5774  0.4916  2 Mo 2.51

Results
The value obtained for the uncorrected formation energy is 0.189 eV/atom.

***

VASP calculation (PBE) on MoPb2Se after structural relaxation.

Unit cell a=5.2668 b=5.2668 c=3.4394 alpha=90.18 beta=90.18 gamma=101.39
Last column: nearest neighbours and their distance in Å.
Atoms (fractional coordinates):
Mo  0.0000  0.5000  0.5000  8 Pb 3.14-3.15, 2 Se 3.34, 2 Mo 3.44
Pb  0.0000  0.0000  0.0000  4 Mo 3.14-3.15, 4 Se 3.14-3.15, 4 Pb 3.34-3.44
Pb  0.5000  0.5000  0.0000  4 Se 3.14-3.15, 4 Mo 3.14-3.15, 4 Pb 3.34-3.44
Se  0.5000  0.0000  0.5000  8 Pb 3.14-3.15, 2 Mo 3.34, 2 Se 3.44

Results
The value obtained for the uncorrected formation energy is 0.545 eV/atom.

***

VASP calculation (PBE) on MoPb2Se after structural relaxation.

Unit cell a=8.4962 b=8.4962 c=8.4962 alpha=24.80 beta=24.80 gamma=24.80
Last column: nearest neighbours and their distance in Å.
Atoms (fractional coordinates):
Mo  0.7500  0.7500  0.7500  6 Pb 2.91
Pb  0.0021  0.0021  0.0021  3 Mo 2.91, 3 Se 2.98
Pb  0.4979  0.4979  0.4979  3 Mo 2.91, 3 Se 2.98
Se  0.2500  0.2500  0.2500  6 Pb 2.98

Results
The value obtained for the uncorrected formation energy is 0.591 eV/atom.

***

VASP calculation (PBE) on MoPb3Se after structural relaxation.

Unit cell a=5.6445 b=5.6445 c=5.6445 alpha=90.00 beta=90.00 gamma=90.00
Last column: nearest neighbours and their distance in Å.
Atoms (fractional coordinates):
Pb  0.0000  0.5000  0.0000  2 Se 2.82
Pb  0.0000  0.0000  0.5000  2 Se 2.82
Pb  0.5000  0.0000  0.0000  2 Se 2.82
Mo  0.5000  0.5000  0.5000  12 Pb 3.99
Se  0.0000  0.0000  0.0000  6 Pb 2.82

Results
As for the distance to the lowest polymorph of the same formula: 575 meV/atom. The value obtained for the uncorrected formation energy is 1.053 eV/atom.

***

VASP calculation (PBE) on SnMoPb2Se after structural relaxation.

Unit cell a=5.7835 b=4.7212 c=5.7835 alpha=90.00 beta=90.00 gamma=90.00
Last column: nearest neighbours and their distance in Å.
Atoms (fractional coordinates):
Pb  0.0000  0.0000  0.5000  2 Se 2.89
Pb  0.5000  0.0000  0.0000  2 Se 2.89
Mo  0.0000  0.5000  0.0000  2 Se 2.36
Sn  0.5000  0.5000  0.5000  8 Pb 3.73, 4 Mo 4.09
Se  0.0000  0.0000  0.0000  2 Mo 2.36

Results
As for the distance to the lowest polymorph of the same formula: 0 meV/atom. The value obtained for the uncorrected formation energy is 0.701 eV/atom.

***

VASP calculation (PBE) on SnMoPb2Se after structural relaxation.

Unit cell a=5.8704 b=5.5679 c=5.8704 alpha=90.00 beta=90.00 gamma=90.00
Last column: nearest neighbours and their distance in Å.
Atoms (fractional coordinates):
Pb  0.0000  0.0000  0.5000  2 Se 2.94
Pb  0.5000  0.0000  0.0000  2 Se 2.94
Mo  0.5000  0.5000  0.5000  8 Pb 4.05, 4 Sn 4.15
Sn  0.0000  0.5000  0.0000  2 Se 2.78
Se  0.0000  0.0000  0.0000  2 Sn 2.78, 4 Pb 2.94

Results
As for the distance to the lowest polymorph of the same formula: 404 meV/atom. The value obtained for the uncorrected formation energy is 1.105 eV/atom.

***

VASP calculation (PBE) on TeMoPbSe2 after structural relaxation.

Unit cell a=4.8665 b=5.8029 c=4.8665 alpha=90.00 beta=90.00 gamma=90.00
Last column: nearest neighbours and their distance in Å.
Atoms (fractional coordinates):
Pb  0.5000  0.5000  0.5000  4 Te 3.44, 8 Se 3.79
Mo  0.0000  0.0000  0.0000  4 Se 2.43
Te  0.0000  0.5000  0.0000  2 Mo 2.90
Se  0.0000  0.0000  0.5000  2 Mo 2.43
Se  0.5000  0.0000  0.0000  2 Mo 2.43

Results
The value obtained for the uncorrected formation energy is 0.020 eV/atom.

***

VASP calculation (PBE) on Tl3MoPb2Se6 after structural relaxation.

Unit cell a=7.3266 b=7.3266 c=7.7317 alpha=99.11 beta=99.11 gamma=119.59
Last column: nearest neighbours and their distance in Å.
Atoms (fractional coordinates):
Tl  0.1703  0.8297  0.5000  6 Se 3.17-3.49
Tl  0.8297  0.1703  0.5000  6 Se 3.17-3.49
Tl  0.5000  0.5000  0.5000  6 Se 3.17-3.50
Mo  0.0000  0.0000  0.0000  6 Se 2.59-2.63
Pb  0.3342  0.6658  0.0000  6 Se 3.02-3.03
Pb  0.6658  0.3342  0.0000  6 Se 3.02-3.03
Se  0.9314  0.6425  0.7969  1 Mo 2.59
Se  0.7805  0.7805  0.2099  1 Mo 2.63
Se  0.0686  0.3575  0.2031  1 Mo 2.59
Se  0.6425  0.9314  0.7969  1 Mo 2.59
Se  0.2195  0.2195  0.7901  1 Mo 2.63
Se  0.3575  0.0686  0.2031  1 Mo 2.59

Results
The value obtained for the uncorrected formation energy is -0.418 eV/atom.

***

VASP calculation (PBE) on SiMoPb after structural relaxation.

Unit cell a=5.4415 b=5.4415 c=5.4415 alpha=143.79 beta=143.79 gamma=52.14
Last column: nearest neighbours and their distance in Å.
Atoms (fractional coordinates):
Mo  0.0363  0.0363  0.0000  4 Si 2.56
Pb  0.3351  0.3351  0.0000  5 Si 2.87-3.13, 5 Mo 2.92-3.10
Si  0.6285  0.6285  0.0000  4 Mo 2.56

Results
As for the distance to the lowest polymorph of the same formula: 0 meV/atom. The value obtained for the uncorrected formation energy is 0.212 eV/atom.